A plane-wave DFT calculation with PBE was carried out for a geometry-optimized DySn2 structure.

Cell: 4.280 4.280 5.937 Å, 116.70 116.70 90.91°
Fractional positions:
Sn 0.823 0.823 0.684
Sn 0.177 0.177 0.316
Dy 0.500 0.500 0.000

energy of formation: -0.36 eV per atom
N(E_F): 1.79 states/eV per cell
symmetry: No. 12

A plane-wave DFT calculation with PBE was carried out for a geometry-optimized Dy5Sn3 structure.

Cell: 8.964 8.964 6.560 Å, 90.00 90.00 120.00°
Fractional positions:
Dy 0.000 0.762 0.750
Dy 0.667 0.333 0.000
Sn 0.000 0.605 0.250
Dy 0.333 0.667 0.500
Sn 0.000 0.395 0.750
Dy 0.238 0.238 0.750
Sn 0.605 0.605 0.750
Dy 0.333 0.667 0.000
Dy 0.667 0.333 0.500
Sn 0.395 0.000 0.750
Dy 0.762 0.762 0.250
Dy 0.238 0.000 0.250
Dy 0.762 0.000 0.750
Sn 0.605 0.000 0.250
Dy 0.000 0.238 0.250
Sn 0.395 0.395 0.250

energy of formation: -0.72 eV per atom
offset from the most stable computed form: 0.0000 eV per atom
N(E_F): 9.47 states/eV per cell
symmetry: No. 193

A plane-wave DFT calculation with PBE was carried out for a geometry-optimized Dy2Sn5 structure.

Cell: 4.364 4.453 19.138 Å, 90.00 90.00 90.00°
Fractional positions:
Sn 0.000 0.500 0.576
Dy 0.000 0.000 0.299
Dy 0.000 0.500 0.871
Sn 0.000 0.000 0.998
Sn 0.500 0.000 0.424
Sn 0.000 0.000 0.736
Sn 0.500 0.000 0.577
Sn 0.000 0.500 0.156
Sn 0.500 0.500 0.002
Sn 0.000 0.500 0.423
Sn 0.500 0.500 0.264
Dy 0.500 0.000 0.129
Dy 0.500 0.500 0.701
Sn 0.500 0.000 0.844

energy of formation: -0.52 eV per atom
N(E_F): 5.45 states/eV per cell
symmetry: No. 59

A plane-wave DFT calculation with PBE was carried out for a geometry-optimized DySn2 structure.

Cell: 4.347 4.432 8.488 Å, 105.08 90.00 90.00°
Fractional positions:
Dy 0.750 0.099 0.198
Sn 0.750 0.748 0.497
Sn 0.750 0.436 0.873
Sn 0.250 0.252 0.503
Sn 0.250 0.564 0.127
Dy 0.250 0.901 0.802

energy of formation: -0.59 eV per atom
N(E_F): 3.24 states/eV per cell
symmetry: No. 11

A plane-wave DFT calculation with PBE was carried out for a geometry-optimized DySn2 structure.

Cell: 4.399 4.399 16.549 Å, 97.71 97.71 90.00°
Fractional positions:
Dy 0.300 0.549 0.098
Sn 0.532 0.283 0.564
Sn 0.874 0.626 0.250
Sn 0.626 0.874 0.750
Sn 0.126 0.374 0.750
Sn 0.468 0.717 0.436
Dy 0.700 0.451 0.902
Sn 0.783 0.032 0.064
Dy 0.951 0.200 0.402
Sn 0.217 0.968 0.936
Dy 0.049 0.800 0.598
Sn 0.374 0.126 0.250

energy of formation: -0.59 eV per atom
N(E_F): 5.76 states/eV per cell
symmetry: No. 15

A plane-wave DFT calculation with PBE was carried out for a geometry-optimized Dy2Sn3 structure.

Cell: 4.507 7.656 7.656 Å, 90.00 90.00 90.00°
Fractional positions:
Dy 0.500 0.694 0.855
Sn 0.500 0.500 0.500
Sn 0.000 0.603 0.173
Sn 0.000 0.827 0.603
Sn 0.000 0.173 0.397
Dy 0.500 0.855 0.306
Sn 0.000 0.000 0.000
Dy 0.500 0.306 0.145
Dy 0.500 0.145 0.694
Sn 0.000 0.397 0.827

energy of formation: -0.62 eV per atom
N(E_F): 6.93 states/eV per cell
symmetry: No. 83

A plane-wave DFT calculation with PBE was carried out for a geometry-optimized DySn2 structure.

Cell: 6.159 6.159 6.159 Å, 60.00 60.00 60.00°
Each line ends with the local moment (μB).
Fractional positions:
Sn 0.125 0.625 0.625  0.03
Dy 0.000 0.000 0.000  0.36
Sn 0.625 0.125 0.625  0.03
Sn 0.625 0.625 0.625  0.03
Sn 0.625 0.625 0.125  0.03
Dy 0.250 0.250 0.250  0.36

energy of formation: -0.22 eV per atom
N(E_F): 6.58 states/eV per cell
symmetry: No. 227

A plane-wave DFT calculation with PBE was carried out for a geometry-optimized Dy5Sn3 structure.

Cell: 6.152 9.062 9.062 Å, 83.38 70.16 70.16°
Each line ends with the local moment (μB).
Fractional positions:
Dy 0.419 0.300 0.862  0.22
Dy 0.250 0.500 0.500  0.29
Dy 0.581 0.700 0.138  0.22
Dy 0.281 0.138 0.300  0.22
Sn 0.250 0.000 0.000  0.00
Dy 0.750 0.500 0.500  0.29
Dy 0.919 0.862 0.300  0.22
Sn 0.838 0.500 0.825  0.00
Dy 0.081 0.138 0.700  0.22
Dy 0.781 0.300 0.138  0.22
Dy 0.219 0.700 0.862  0.22
Sn 0.750 0.000 0.000  0.00
Dy 0.719 0.862 0.700  0.22
Sn 0.162 0.500 0.175  0.00
Sn 0.338 0.825 0.500  0.00
Sn 0.662 0.175 0.500  0.00

energy of formation: -0.67 eV per atom
offset from the most stable computed form: 0.0544 eV per atom
N(E_F): 15.53 states/eV per cell
symmetry: No. 140

A plane-wave DFT calculation with PBE was carried out for a geometry-optimized Dy5Sn3 structure.

Cell: 8.158 8.158 8.959 Å, 117.09 117.09 90.00°
Fractional positions:
Dy 0.693 0.507 0.700
Sn 0.643 0.857 0.000
Sn 0.250 0.250 0.500
Dy 0.000 0.000 0.000
Dy 0.193 0.693 0.700
Sn 0.357 0.143 0.000
Dy 0.307 0.493 0.300
Dy 0.500 0.500 0.000
Dy 0.807 0.307 0.300
Dy 0.507 0.007 0.700
Sn 0.750 0.750 0.500
Dy 0.007 0.193 0.700
Sn 0.143 0.643 0.000
Dy 0.493 0.993 0.300
Sn 0.857 0.357 0.000
Dy 0.993 0.807 0.300

energy of formation: -0.65 eV per atom
offset from the most stable computed form: 0.0749 eV per atom
N(E_F): 15.29 states/eV per cell
symmetry: No. 140

A plane-wave DFT calculation with PBE was carried out for a geometry-optimized Dy5Sn13 structure.

Cell: 4.396 4.462 24.418 Å, 95.24 95.16 90.00°
Fractional positions:
Dy 0.500 0.000 0.000
Sn 0.053 0.053 0.107
Sn 0.220 0.720 0.440
Dy 0.896 0.396 0.793
Dy 0.329 0.329 0.658
Sn 0.280 0.780 0.561
Sn 0.947 0.947 0.893
Sn 0.720 0.220 0.439
Sn 0.615 0.115 0.231
Sn 0.000 0.500 0.000
Sn 0.842 0.842 0.684
Sn 0.780 0.280 0.560
Sn 0.385 0.885 0.769
Sn 0.553 0.553 0.106
Sn 0.158 0.158 0.316
Sn 0.447 0.447 0.894
Dy 0.671 0.671 0.342
Dy 0.104 0.604 0.207

energy of formation: -0.50 eV per atom
N(E_F): 7.00 states/eV per cell
symmetry: No. 71

A plane-wave DFT calculation with PBE was carried out for a geometry-optimized SrDySn structure.

Cell: 5.175 3.659 14.994 Å, 90.00 90.00 135.01°
Fractional positions:
Sn 0.194 0.387 0.500
Dy 0.694 0.387 0.631
Dy 0.694 0.387 0.369
Sn 0.695 0.391 0.000
Sr 0.195 0.390 0.844
Sr 0.195 0.390 0.156

energy of formation: -0.35 eV per atom
N(E_F): 6.28 states/eV per cell
symmetry: No. 38

A plane-wave DFT calculation with PBE was carried out for a geometry-optimized SrDySn2 structure.

Cell: 4.053 4.053 7.373 Å, 90.00 90.00 90.00°
Fractional positions:
Sn 0.000 0.000 0.789
Sn 0.000 0.000 0.211
Sr 0.500 0.500 0.500
Dy 0.500 0.500 0.000

energy of formation: -0.60 eV per atom
N(E_F): 1.50 states/eV per cell
symmetry: No. 123